# Mg2Pb, relaxed, DFT GGA-PBEsol
# Formation energy from the elements in eV per formula unit: -0.18
# Total energy in eV per atom: -2.537
data_Mg2Pb
_cell_length_a 3.358
_cell_length_b 4.544
_cell_length_c 9.610
_cell_angle_alpha 90.00
_cell_angle_beta 90.00
_cell_angle_gamma 90.00
_symmetry_space_group_name_H-M 'I m m m'
_symmetry_Int_Tables_number 71
_symmetry_space_group_name_Hall '-I 2 2'
loop_
_atom_site_label
_atom_site_type_symbol
_atom_site_fract_x
_atom_site_fract_y
_atom_site_fract_z
_atom_site_occupancy
Mg1 Mg 0.000 0.000 0.166 1
Pb1 Pb 0.000 0.000 0.500 1

# MgPb, relaxed, DFT GGA-PBEsol
# Formation energy from the elements in eV per formula unit: -0.15
# Total energy in eV per atom: -2.931
data_MgPb
_cell_length_a 5.337
_cell_length_b 3.543
_cell_length_c 5.337
_cell_angle_alpha 90.00
_cell_angle_beta 90.00
_cell_angle_gamma 90.00
_symmetry_space_group_name_H-M 'P m m a'
_symmetry_Int_Tables_number 51
_symmetry_space_group_name_Hall '-P 2a 2a'
loop_
_atom_site_label
_atom_site_type_symbol
_atom_site_fract_x
_atom_site_fract_y
_atom_site_fract_z
_atom_site_occupancy
Mg1 Mg 0.250 0.000 0.230 1
Pb1 Pb 0.250 0.500 0.732 1

# Mg2Pb, relaxed, DFT GGA-PBEsol
# Formation energy from the elements in eV per formula unit: -0.06
# Total energy in eV per atom: -2.499
data_Mg2Pb
_cell_length_a 5.0780
_cell_length_b 5.0780
_cell_length_c 3.3373
_cell_angle_alpha 90.00
_cell_angle_beta 90.00
_cell_angle_gamma 120.00
_symmetry_space_group_name_H-M 'P -3 m 1'
_symmetry_Int_Tables_number 164
_symmetry_space_group_name_Hall '-P 3 2"'
loop_
_atom_site_label
_atom_site_type_symbol
_atom_site_fract_x
_atom_site_fract_y
_atom_site_fract_z
_atom_site_occupancy
Mg1 Mg 0.3333 0.6667 0.2159 1
Pb1 Pb 0.0000 0.0000 0.5000 1

# MgPb5, relaxed, DFT GGA-PBEsol
# Formation energy from the elements in eV per formula unit: 0.03
# Total energy in eV per atom: -3.613
data_MgPb5
_cell_length_a 5.613
_cell_length_b 3.455
_cell_length_c 17.690
_cell_angle_alpha 90.00
_cell_angle_beta 90.00
_cell_angle_gamma 90.00
_symmetry_space_group_name_H-M 'A m m 2'
_symmetry_Int_Tables_number 38
_symmetry_space_group_name_Hall 'A 2 -2'
loop_
_atom_site_label
_atom_site_type_symbol
_atom_site_fract_x
_atom_site_fract_y
_atom_site_fract_z
_atom_site_occupancy
Mg1 Mg 0.000 0.000 0.000 1
Pb1 Pb 0.000 0.000 0.339 1
Pb2 Pb 0.000 0.000 0.661 1
Pb3 Pb 0.500 0.000 0.112 1
Pb4 Pb 0.500 0.000 0.450 1
Pb5 Pb 0.500 0.000 0.779 1

# Mg3Pb, relaxed, DFT GGA-PBEsol
# Formation energy from the elements in eV per formula unit: -0.19
# Total energy in eV per atom: -2.336
data_Mg3Pb
_cell_length_a 6.423
_cell_length_b 8.859
_cell_length_c 3.332
_cell_angle_alpha 90.00
_cell_angle_beta 90.00
_cell_angle_gamma 90.00
_symmetry_space_group_name_H-M 'C m m m'
_symmetry_Int_Tables_number 65
_symmetry_space_group_name_Hall '-C 2 2'
loop_
_atom_site_label
_atom_site_type_symbol
_atom_site_fract_x
_atom_site_fract_y
_atom_site_fract_z
_atom_site_occupancy
Mg1 Mg 0.000 0.000 0.000 1
Mg2 Mg 0.250 0.250 0.500 1
Pb1 Pb 0.000 0.500 0.000 1

# MgPb2, relaxed, DFT GGA-PBEsol
# Formation energy from the elements in eV per formula unit: -0.07
# Total energy in eV per atom: -3.263
data_MgPb2
_cell_length_a 8.9586
_cell_length_b 8.9586
_cell_length_c 3.5085
_cell_angle_alpha 90.00
_cell_angle_beta 90.00
_cell_angle_gamma 120.00
_symmetry_space_group_name_H-M 'P -6 2 m'
_symmetry_Int_Tables_number 189
_symmetry_space_group_name_Hall 'P -6 -2'
loop_
_atom_site_label
_atom_site_type_symbol
_atom_site_fract_x
_atom_site_fract_y
_atom_site_fract_z
_atom_site_occupancy
Mg1 Mg 0.0000 0.0000 0.0000 1
Mg2 Mg 0.3333 0.6667 0.5000 1
Pb1 Pb 0.0000 0.3825 0.0000 1
Pb2 Pb 0.0000 0.7136 0.5000 1

# Mg17Pb12, relaxed, DFT GGA-PBEsol
# Formation energy from the elements in eV per formula unit: 0.18
# Total energy in eV per atom: -2.655
data_Mg17Pb12
_cell_length_a 11.464
_cell_length_b 11.464
_cell_length_c 11.464
_cell_angle_alpha 90.00
_cell_angle_beta 90.00
_cell_angle_gamma 90.00
_symmetry_space_group_name_H-M 'I -4 3 m'
_symmetry_Int_Tables_number 217
_symmetry_space_group_name_Hall 'I -4 2 3'
loop_
_atom_site_label
_atom_site_type_symbol
_atom_site_fract_x
_atom_site_fract_y
_atom_site_fract_z
_atom_site_occupancy
Mg1 Mg 0.000 0.000 0.000 1
Mg2 Mg 0.053 0.361 0.361 1
Mg3 Mg 0.170 0.170 0.830 1
Pb1 Pb 0.098 0.098 0.298 1

# MgPb, relaxed, DFT GGA-PBEsol
# Formation energy from the elements in eV per formula unit: -0.04
# Total energy in eV per atom: -2.877
data_MgPb
_cell_length_a 3.322
_cell_length_b 11.767
_cell_length_c 5.312
_cell_angle_alpha 90.00
_cell_angle_beta 90.00
_cell_angle_gamma 90.00
_symmetry_space_group_name_H-M 'C m c m'
_symmetry_Int_Tables_number 63
_symmetry_space_group_name_Hall '-C 2c 2'
loop_
_atom_site_label
_atom_site_type_symbol
_atom_site_fract_x
_atom_site_fract_y
_atom_site_fract_z
_atom_site_occupancy
Mg1 Mg 0.000 0.151 0.250 1
Pb1 Pb 0.000 0.410 0.250 1

# MgPdPb3, relaxed, DFT GGA-PBEsol
# Formation energy from the elements in eV per formula unit: 3.57
# Total energy in eV per atom: -3.221
data_MgPdPb3
_cell_length_a 5.305
_cell_length_b 5.305
_cell_length_c 5.305
_cell_angle_alpha 90.00
_cell_angle_beta 90.00
_cell_angle_gamma 90.00
_symmetry_space_group_name_H-M 'P m -3 m'
_symmetry_Int_Tables_number 221
_symmetry_space_group_name_Hall '-P 4 2 3'
loop_
_atom_site_label
_atom_site_type_symbol
_atom_site_fract_x
_atom_site_fract_y
_atom_site_fract_z
_atom_site_occupancy
Mg1 Mg 0.000 0.000 0.000 1
Pd1 Pd 0.500 0.500 0.500 1
Pb1 Pb 0.000 0.000 0.500 1

# Mg2TiPdPb, relaxed, DFT GGA-PBEsol
# Formation energy from the elements in eV per formula unit: 3.32
# Total energy in eV per atom: -3.679
data_Mg2TiPdPb
_cell_length_a 5.323
_cell_length_b 5.323
_cell_length_c 4.494
_cell_angle_alpha 90.00
_cell_angle_beta 90.00
_cell_angle_gamma 90.00
_symmetry_space_group_name_H-M 'P 4/m m m'
_symmetry_Int_Tables_number 123
_symmetry_space_group_name_Hall '-P 4 2'
loop_
_atom_site_label
_atom_site_type_symbol
_atom_site_fract_x
_atom_site_fract_y
_atom_site_fract_z
_atom_site_occupancy
Mg1 Mg 0.000 0.500 0.000 1
Ti1 Ti 0.000 0.000 0.000 1
Pd1 Pd 0.000 0.000 0.500 1
Pb1 Pb 0.500 0.500 0.500 1

# MgPtPb2, relaxed, DFT GGA-PBEsol
# Formation energy from the elements in eV per formula unit: -0.61
# Total energy in eV per atom: -4.322
data_MgPtPb2
_cell_length_a 3.747
_cell_length_b 4.319
_cell_length_c 11.413
_cell_angle_alpha 90.00
_cell_angle_beta 90.00
_cell_angle_gamma 90.00
_symmetry_space_group_name_H-M 'A m m 2'
_symmetry_Int_Tables_number 38
_symmetry_space_group_name_Hall 'A 2 -2'
loop_
_atom_site_label
_atom_site_type_symbol
_atom_site_fract_x
_atom_site_fract_y
_atom_site_fract_z
_atom_site_occupancy
Mg1 Mg 0.000 0.000 0.000 1
Pt1 Pt 0.500 0.000 0.841 1
Pb1 Pb 0.000 0.000 0.286 1
Pb2 Pb 0.500 0.000 0.587 1

# MgPtPb3, relaxed, DFT GGA-PBEsol
# Formation energy from the elements in eV per formula unit: 4.24
# Total energy in eV per atom: -3.287
data_MgPtPb3
_cell_length_a 5.252
_cell_length_b 5.252
_cell_length_c 5.252
_cell_angle_alpha 90.00
_cell_angle_beta 90.00
_cell_angle_gamma 90.00
_symmetry_space_group_name_H-M 'P m -3 m'
_symmetry_Int_Tables_number 221
_symmetry_space_group_name_Hall '-P 4 2 3'
loop_
_atom_site_label
_atom_site_type_symbol
_atom_site_fract_x
_atom_site_fract_y
_atom_site_fract_z
_atom_site_occupancy
Mg1 Mg 0.000 0.000 0.000 1
Pt1 Pt 0.500 0.500 0.500 1
Pb1 Pb 0.000 0.000 0.500 1

# Mg2Pt2Pb, relaxed, DFT GGA-PBEsol
# Formation energy from the elements in eV per formula unit: -1.81
# Total energy in eV per atom: -4.634
data_Mg2Pt2Pb
_cell_length_a 4.059
_cell_length_b 4.059
_cell_length_c 12.032
_cell_angle_alpha 90.00
_cell_angle_beta 90.00
_cell_angle_gamma 90.00
_symmetry_space_group_name_H-M 'I 4/m m m'
_symmetry_Int_Tables_number 139
_symmetry_space_group_name_Hall '-I 4 2'
loop_
_atom_site_label
_atom_site_type_symbol
_atom_site_fract_x
_atom_site_fract_y
_atom_site_fract_z
_atom_site_occupancy
Mg1 Mg 0.000 0.500 0.250 1
Pt1 Pt 0.000 0.000 0.109 1
Pb1 Pb 0.000 0.000 0.500 1

# Mg2PtPb, relaxed, DFT GGA-PBEsol
# Formation energy from the elements in eV per formula unit: -1.18
# Total energy in eV per atom: -3.895
data_Mg2PtPb
_cell_length_a 3.194
_cell_length_b 4.729
_cell_length_c 5.087
_cell_angle_alpha 90.00
_cell_angle_beta 90.00
_cell_angle_gamma 90.00
_symmetry_space_group_name_H-M 'P m m 2'
_symmetry_Int_Tables_number 25
_symmetry_space_group_name_Hall 'P 2 -2'
loop_
_atom_site_label
_atom_site_type_symbol
_atom_site_fract_x
_atom_site_fract_y
_atom_site_fract_z
_atom_site_occupancy
Mg1 Mg 0.000 0.000 0.000 1
Mg2 Mg 0.000 0.500 0.354 1
Pt1 Pt 0.500 0.000 0.462 1
Pb1 Pb 0.500 0.500 0.832 1

# Mg2PtPb, relaxed, DFT GGA-PBEsol
# Formation energy from the elements in eV per formula unit: -1.24
# Total energy in eV per atom: -3.909
data_Mg2PtPb
_cell_length_a 6.747
_cell_length_b 6.747
_cell_length_c 6.747
_cell_angle_alpha 90.00
_cell_angle_beta 90.00
_cell_angle_gamma 90.00
_symmetry_space_group_name_H-M 'F m -3 m'
_symmetry_Int_Tables_number 225
_symmetry_space_group_name_Hall '-F 4 2 3'
loop_
_atom_site_label
_atom_site_type_symbol
_atom_site_fract_x
_atom_site_fract_y
_atom_site_fract_z
_atom_site_occupancy
Mg1 Mg 0.250 0.250 0.250 1
Pt1 Pt 0.000 0.000 0.000 1
Pb1 Pb 0.000 0.000 0.500 1

# Mg2PtPb, relaxed, DFT GGA-PBEsol
# Formation energy from the elements in eV per formula unit: -1.12
# Total energy in eV per atom: -3.879
data_Mg2PtPb
_cell_length_a 4.242
_cell_length_b 4.242
_cell_length_c 8.603
_cell_angle_alpha 90.00
_cell_angle_beta 90.00
_cell_angle_gamma 90.00
_symmetry_space_group_name_H-M 'I -4 m 2'
_symmetry_Int_Tables_number 119
_symmetry_space_group_name_Hall 'I -4 -2'
loop_
_atom_site_label
_atom_site_type_symbol
_atom_site_fract_x
_atom_site_fract_y
_atom_site_fract_z
_atom_site_occupancy
Mg1 Mg 0.000 0.000 0.000 1
Mg2 Mg 0.000 0.500 0.250 1
Pt1 Pt 0.000 0.500 0.750 1
Pb1 Pb 0.000 0.000 0.500 1

# Mg2PtPb, relaxed, DFT GGA-PBEsol
# Formation energy from the elements in eV per formula unit: -1.19
# Total energy in eV per atom: -3.895
data_Mg2PtPb
_cell_length_a 9.664
_cell_length_b 3.677
_cell_length_c 4.805
_cell_angle_alpha 90.00
_cell_angle_beta 108.76
_cell_angle_gamma 90.00
_symmetry_space_group_name_H-M 'C 1 m 1'
_symmetry_Int_Tables_number 8
_symmetry_space_group_name_Hall 'C -2y'
loop_
_atom_site_label
_atom_site_type_symbol
_atom_site_fract_x
_atom_site_fract_y
_atom_site_fract_z
_atom_site_occupancy
Mg1 Mg 0.000 0.000 0.000 1
Mg2 Mg 0.222 0.000 0.700 1
Pt1 Pt 0.222 0.500 0.117 1
Pb1 Pb 0.453 0.000 0.444 1

# Mg2PtPb, relaxed, DFT GGA-PBEsol
# Formation energy from the elements in eV per formula unit: -1.23
# Total energy in eV per atom: -3.906
data_Mg2PtPb
_cell_length_a 4.329
_cell_length_b 4.329
_cell_length_c 4.092
_cell_angle_alpha 90.00
_cell_angle_beta 90.00
_cell_angle_gamma 90.00
_symmetry_space_group_name_H-M 'P 4/m m m'
_symmetry_Int_Tables_number 123
_symmetry_space_group_name_Hall '-P 4 2'
loop_
_atom_site_label
_atom_site_type_symbol
_atom_site_fract_x
_atom_site_fract_y
_atom_site_fract_z
_atom_site_occupancy
Mg1 Mg 0.000 0.500 0.000 1
Pt1 Pt 0.000 0.000 0.500 1
Pb1 Pb 0.500 0.500 0.500 1

# Mg3PtPb, relaxed, DFT GGA-PBEsol
# Formation energy from the elements in eV per formula unit: -1.08
# Total energy in eV per atom: -3.438
data_Mg3PtPb
_cell_length_a 4.987
_cell_length_b 4.987
_cell_length_c 4.987
_cell_angle_alpha 90.00
_cell_angle_beta 90.00
_cell_angle_gamma 90.00
_symmetry_space_group_name_H-M 'P m -3 m'
_symmetry_Int_Tables_number 221
_symmetry_space_group_name_Hall '-P 4 2 3'
loop_
_atom_site_label
_atom_site_type_symbol
_atom_site_fract_x
_atom_site_fract_y
_atom_site_fract_z
_atom_site_occupancy
Mg1 Mg 0.000 0.000 0.500 1
Pt1 Pt 0.000 0.000 0.000 1
Pb1 Pb 0.500 0.500 0.500 1

# Mg2PtPb, relaxed, DFT GGA-PBEsol
# Formation energy from the elements in eV per formula unit: -1.77
# Total energy in eV per atom: -4.042
data_Mg2PtPb
_cell_length_a 3.239
_cell_length_b 3.239
_cell_length_c 7.668
_cell_angle_alpha 90.00
_cell_angle_beta 90.00
_cell_angle_gamma 90.00
_symmetry_space_group_name_H-M 'P 4/m m m'
_symmetry_Int_Tables_number 123
_symmetry_space_group_name_Hall '-P 4 2'
loop_
_atom_site_label
_atom_site_type_symbol
_atom_site_fract_x
_atom_site_fract_y
_atom_site_fract_z
_atom_site_occupancy
Mg1 Mg 0.000 0.000 0.194 1
Pt1 Pt 0.500 0.500 0.000 1
Pb1 Pb 0.500 0.500 0.500 1